{
  "formula": "SrZr3Si",
  "functional": "PBE",
  "state": "relaxed",
  "magmom_total_mub_per_fu": 0.0,
  "relative_energy_mev_per_atom": 0,
  "sg": "Pm-3m, No. 221",
  "lattice_angstrom": [[5.175, 0.000, 0.000], [0.000, 5.175, 0.000], [0.000, 0.000, 5.175]],
  "species": ["Zr", "Zr", "Zr", "Sr", "Si"],
  "frac_coords": [[0.000, 0.000, 0.500], [0.000, 0.500, 0.000], [0.500, 0.000, 0.000], [0.500, 0.500, 0.500], [0.000, 0.000, 0.000]]
}

***

{
  "formula": "Sr2ZrSi",
  "functional": "PBE",
  "state": "relaxed",
  "magmom_total_mub_per_fu": 0.0,
  "sg": "P2/m, No. 10",
  "lattice_angstrom": [[4.858, 0.000, 0.000], [0.000, 3.635, 0.052], [0.000, 3.519, 6.560]],
  "species": ["Sr", "Sr", "Zr", "Si"],
  "frac_coords": [[0.000, 0.012, 0.986], [0.000, 0.488, 0.514], [0.500, 0.250, 0.250], [0.500, 0.750, 0.750]]
}

***

{
  "formula": "SrZrSi",
  "functional": "PBE",
  "state": "relaxed",
  "magmom_total_mub_per_fu": 2.0,
  "sg": "F-43m, No. 216",
  "lattice_angstrom": [[-3.145, -3.147, -2.306], [-1.690, -4.061, 2.401], [-4.796, -0.248, 1.434]],
  "species": ["Si", "Sr", "Zr"],
  "frac_coords": [[0.500, 0.500, 0.500], [0.750, 0.750, 0.750], [0.000, 0.000, 0.000]]
}

***

{
  "formula": "SrZr2Si",
  "functional": "PBE",
  "state": "relaxed",
  "magmom_total_mub_per_fu": 0.0,
  "sg": "Cm, No. 8",
  "lattice_angstrom": [[5.113, -0.014, 0.188], [3.755, 3.470, 0.188], [1.903, 0.742, 6.391]],
  "species": ["Sr", "Zr", "Zr", "Si"],
  "frac_coords": [[0.202, 0.202, 0.271], [0.015, 0.015, 0.910], [0.783, 0.783, 0.685], [0.500, 0.500, 0.634]]
}

***

{
  "formula": "Sr2ZrSi",
  "functional": "PBE",
  "state": "relaxed",
  "magmom_total_mub_per_fu": 0.0,
  "sg": "Amm2, No. 38",
  "lattice_angstrom": [[-1.292, -3.552, -2.215], [4.558, -1.189, -0.752], [2.291, -3.999, 5.078]],
  "species": ["Zr", "Sr", "Sr", "Si"],
  "frac_coords": [[0.000, 0.677, 0.521], [0.500, 0.277, 0.322], [0.000, 0.982, 0.911], [0.500, 0.565, 0.746]]
}

***

{
  "formula": "Sr2ZrSi",
  "functional": "PBE",
  "state": "relaxed",
  "magmom_total_mub_per_fu": 0.6,
  "sg": "P4mm, No. 99",
  "lattice_angstrom": [[-1.912, -2.889, 1.505], [0.541, -2.003, -3.157], [7.933, -3.412, 3.525]],
  "species": ["Sr", "Sr", "Si", "Zr"],
  "frac_coords": [[0.000, 0.000, 0.941], [0.500, 0.500, 0.312], [0.500, 0.500, 0.651], [0.000, 0.000, 0.596]]
}

***

{
  "formula": "Sr2ZrSi",
  "functional": "PBE",
  "state": "relaxed",
  "magmom_total_mub_per_fu": 0.7,
  "sg": "Immm, No. 71",
  "lattice_angstrom": [[-0.829, 9.085, 3.113], [-4.387, 7.906, 3.340], [0.396, -0.443, 3.900]],
  "species": ["Sr", "Sr", "Zr", "Si"],
  "frac_coords": [[0.908, 0.908, 0.092], [0.592, 0.592, 0.408], [0.750, 0.750, 0.750], [0.250, 0.250, 0.250]]
}

***

{
  "formula": "SrZr2Si2",
  "functional": "PBE",
  "state": "relaxed",
  "magmom_total_mub_per_fu": 0.0,
  "relative_energy_mev_per_atom": 90,
  "sg": "P4/mbm, No. 127",
  "lattice_angstrom": [[7.660, 0.000, 0.000], [0.000, 7.660, 0.000], [0.000, 0.000, 3.617]],
  "species": ["Sr", "Sr", "Zr", "Zr", "Zr", "Zr", "Si", "Si", "Si", "Si"],
  "frac_coords": [[0.000, 0.000, 0.000], [0.500, 0.500, 0.000], [0.832, 0.332, 0.500], [0.332, 0.168, 0.500], [0.168, 0.668, 0.500], [0.668, 0.832, 0.500], [0.883, 0.617, 0.000], [0.383, 0.883, 0.000], [0.617, 0.117, 0.000], [0.117, 0.383, 0.000]]
}

***

| no. | DFT total energy (eV/atom) |
| --- | --- |
| 1 | -6.342 |
| 2 | -4.021 |
| 3 | -4.051 |
| 4 | -5.989 |
| 5 | -4.312 |
| 6 | -4.427 |
| 7 | -4.447 |
| 8 | -6.284 |